VASP calculation (PBEsol) on a relaxed structure of TiOsC2.

Summary:
Its formation energy is 0.281 eV per atom. The total magnetization comes out at 0.000 μB per atom.

Cell lengths 4.549, 4.549, 9.564 Å; angles 90.00, 90.00, 90.00 degrees
Space group I-42d (No. 122)
Asymmetric unit:
Ti: 0.000 0.000 0.000 (multiplicity 4)
Os: 0.000 0.000 0.500 (multiplicity 4)
C: 0.227 0.250 0.625 (multiplicity 8)